# Sr5Ag

A relaxed Sr5Ag crystal (PBE-GGA, Alexandria via LeMat-Bulk).

Computed properties:
N(E_F)   6.46 states/eV per cell
Total moment   0.00 μB per formula unit
Calculated volume   274 Å³/cell
Polymorph energy (0 for the lowest one)   96 meV per atom
ΔE_f   0.01 eV/atom

abc: 6.4537 4.5530 9.5899
angles: 103.73 90.00 90.00
Fractional coordinates of all 6 atoms:
Sr 0.5000 0.8314 0.6628
Sr 0.0000 0.6402 0.2803
Sr 0.5000 0.5000 0.0000
Sr 0.0000 0.3598 0.7197
Sr 0.5000 0.1686 0.3372
Ag 0.0000 0.0000 0.0000


# BaSrOs2

A relaxed BaSrOs2 crystal (PBE-GGA, Alexandria via LeMat-Bulk).

Computed properties:
N(E_F)   3.66 states/eV per cell
Total moment   0.00 μB per formula unit
Calculated volume   137 Å³/cell
Polymorph energy (0 for the lowest one)   0 meV per atom
ΔE_f   0.19 eV/atom

abc: 4.1936 4.1936 9.3091
angles: 76.75 76.75 60.01
Fractional coordinates of all 4 atoms:
Ba 0.7170 0.7170 0.8525
Os 0.9506 0.9506 0.1478
Os 0.2962 0.2962 0.1118
Sr 0.5363 0.5363 0.3878


# Na2Dy2SbS6

A relaxed Na2Dy2SbS6 crystal (PBE-GGA, Alexandria via LeMat-Bulk).

Computed properties:
N(E_F)   4.63 states/eV per cell
Total moment   0.00 μB per formula unit
Raw formation energy   -1339 meV/atom
Calculated volume   274 Å³/cell

abc: 6.8264 6.8264 7.1280
angles: 98.80 98.80 119.87
Fractional coordinates of all 11 atoms:
Na 0.8354 0.1646 0.0000
Na 0.1646 0.8354 0.0000
Dy 0.3335 0.6665 0.5000
Dy 0.6665 0.3335 0.5000
Sb 0.0000 0.0000 0.5000
S 0.7512 0.7512 0.7191
S 0.0679 0.3946 0.7192
S 0.2488 0.2488 0.2809
S 0.3946 0.0679 0.7192
S 0.9321 0.6054 0.2808
S 0.6054 0.9321 0.2808


# PbN2Cl6

A relaxed PbN2Cl6 crystal (PBE-GGA, Alexandria via LeMat-Bulk).

Computed properties:
N(E_F)   13.91 states/eV per cell
Total moment   3.96 μB per formula unit
Raw formation energy   1047 meV/atom
Calculated volume   258 Å³/cell

abc: 7.1459 7.1459 7.1459
angles: 60.00 60.00 60.00
Fractional coordinates of all 9 atoms:
Pb 0.0000 0.0000 0.0000
N 0.7500 0.7500 0.7500
N 0.2500 0.2500 0.2500
Cl 0.2533 0.7467 0.7467
Cl 0.2533 0.2533 0.7467
Cl 0.2533 0.7467 0.2533
Cl 0.7467 0.2533 0.2533
Cl 0.7467 0.7467 0.2533
Cl 0.7467 0.2533 0.7467


# LiEr2Ag6

A relaxed LiEr2Ag6 crystal (PBE-GGA, Alexandria via LeMat-Bulk).

Computed properties:
N(E_F)   9.34 states/eV per cell
Total moment   0.00 μB per formula unit
Calculated volume   361 Å³/cell
Polymorph energy (0 for the lowest one)   0 meV per atom
ΔE_f   -0.18 eV/atom

abc: 5.2253 8.5345 8.5345
angles: 74.09 82.68 82.68
Fractional coordinates of all 18 atoms:
Li 0.2500 0.1232 0.8768
Li 0.7500 0.8768 0.1232
Er 0.4296 0.5426 0.7857
Er 0.0704 0.2143 0.4574
Er 0.5704 0.4574 0.2143
Er 0.9296 0.7857 0.5426
Ag 0.4756 0.7063 0.4080
Ag 0.0244 0.5920 0.2937
Ag 0.5244 0.2937 0.5920
Ag 0.9756 0.4080 0.7063
Ag 0.6226 0.0867 0.3409
Ag 0.8774 0.6591 0.9133
Ag 0.3774 0.9133 0.6591
Ag 0.1226 0.3409 0.0867
Ag 0.3271 0.7807 0.0077
Ag 0.1729 0.9923 0.2193
Ag 0.6729 0.2193 0.9923
Ag 0.8271 0.0077 0.7807


# Ti3SiAu

A relaxed Ti3SiAu crystal (PBE-GGA, Alexandria via LeMat-Bulk).

Computed properties:
N(E_F)   3.37 states/eV per cell
Total moment   0.00 μB per formula unit
Raw formation energy   156 meV/atom
Calculated volume   96 Å³/cell
Polymorph energy (0 for the lowest one)   0 meV per atom

abc: 4.5739 4.5739 4.5739
angles: 90.00 90.00 90.00
Fractional coordinates of all 5 atoms:
Si 0.0000 0.0000 0.0000
Au 0.5000 0.5000 0.5000
Ti 0.0000 0.5000 0.0000
Ti 0.0000 0.0000 0.5000
Ti 0.5000 0.0000 0.0000


# FeWC3

A relaxed FeWC3 crystal (PBE-GGA, Alexandria via LeMat-Bulk).

Computed properties:
N(E_F)   4.24 states/eV per cell
Total moment   2.97 μB per formula unit
Calculated volume   50 Å³/cell
Polymorph energy (0 for the lowest one)   0 meV per atom
ΔE_f   2.13 eV/atom

abc: 3.6841 3.6841 3.6841
angles: 90.00 90.00 90.00
Fractional coordinates of all 5 atoms:
C 0.0000 0.5000 0.0000
C 0.0000 0.0000 0.5000
C 0.5000 0.0000 0.0000
Fe 0.0000 0.0000 0.0000
W 0.5000 0.5000 0.5000


# VAg2P2

A relaxed VAg2P2 crystal (PBE-GGA, Alexandria via LeMat-Bulk).

Computed properties:
N(E_F)   3.44 states/eV per cell
Total moment   1.63 μB per formula unit
Calculated volume   172 Å³/cell
ΔE_f   -0.02 eV/atom

abc: 6.0874 6.0874 4.6480
angles: 90.00 90.00 90.00
Fractional coordinates of all 10 atoms:
P 0.3710 0.8710 0.0000
P 0.8710 0.6290 0.0000
P 0.6290 0.1290 0.0000
P 0.1290 0.3710 0.0000
Ag 0.2652 0.7652 0.5000
Ag 0.7652 0.7348 0.5000
Ag 0.7348 0.2348 0.5000
Ag 0.2348 0.2652 0.5000
V 0.0000 0.0000 0.0000
V 0.5000 0.5000 0.0000


# GaBiPSe

A relaxed GaBiPSe crystal (PBE-GGA, Alexandria via LeMat-Bulk).

Computed properties:
N(E_F)   2.41 states/eV per cell
Total moment   0.00 μB per formula unit
Raw formation energy   -155 meV/atom
Calculated volume   194 Å³/cell
Polymorph energy (0 for the lowest one)   88 meV per atom

abc: 7.7919 3.6943 6.9292
angles: 90.00 103.13 90.00
Fractional coordinates of all 8 atoms:
Ga 0.9888 0.0000 0.4381
Ga 0.9888 0.5000 0.9381
Bi 0.4384 0.0000 0.2881
Bi 0.4384 0.5000 0.7881
P 0.2234 0.0000 0.9243
P 0.2234 0.5000 0.4243
Se 0.8191 0.0000 0.0793
Se 0.8191 0.5000 0.5793


# Ta2BiCl

A relaxed Ta2BiCl crystal (PBE-GGA, Alexandria via LeMat-Bulk).

Computed properties:
N(E_F)   9.21 states/eV per cell
Total moment   0.00 μB per formula unit
Raw formation energy   767 meV/atom
Calculated volume   188 Å³/cell
Polymorph energy (0 for the lowest one)   44 meV per atom

abc: 4.7046 4.7046 9.1275
angles: 75.07 75.07 90.00
Fractional coordinates of all 8 atoms:
Cl 0.5000 0.5000 0.0000
Cl 0.2500 0.7500 0.5000
Bi 0.0000 0.0000 0.0000
Bi 0.7500 0.2500 0.5000
Ta 0.5394 0.1250 0.2500
Ta 0.2106 0.6250 0.2500
Ta 0.3750 0.4606 0.7500
Ta 0.8750 0.7894 0.7500


# HfAs2Pb

A relaxed HfAs2Pb crystal (PBE-GGA, Alexandria via LeMat-Bulk).

Computed properties:
N(E_F)   0.87 states/eV per cell
Total moment   0.00 μB per formula unit
Calculated volume   260 Å³/cell
ΔE_f   -0.21 eV/atom

abc: 6.4685 6.4685 7.7138
angles: 65.21 65.21 90.00
Fractional coordinates of all 8 atoms:
Pb 0.0000 0.0000 0.0000
Pb 0.7500 0.2500 0.5000
As 0.5756 0.1250 0.2500
As 0.1744 0.6250 0.2500
As 0.3750 0.4244 0.7500
As 0.8750 0.8256 0.7500
Hf 0.5000 0.5000 0.0000
Hf 0.2500 0.7500 0.5000


# AgWAu2

A relaxed AgWAu2 crystal (PBE-GGA, Alexandria via LeMat-Bulk).

Computed properties:
N(E_F)   2.43 states/eV per cell
Total moment   0.00 μB per formula unit
Calculated volume   71 Å³/cell
Polymorph energy (0 for the lowest one)   338 meV per atom
ΔE_f   0.57 eV/atom

abc: 2.7730 5.1023 4.9938
angles: 90.00 90.00 90.00
Fractional coordinates of all 4 atoms:
Au 0.0000 0.0000 0.0000
Au 0.5000 0.5000 0.0000
Ag 0.0000 0.5000 0.5000
W 0.5000 0.0000 0.5000